Here is Zr2MoIr after structural relaxation from the Alexandria database. Energies are from PBE.

a b c (Å): 4.6626 4.6626 3.3532
angles (deg): 90.00 90.00 90.00
With the nearest neighbours (Å) after each atom.
Fractional coordinates of all 4 atoms:
Zr 0.0000 0.5000 0.0000  4 Mo 2.87, 4 Ir 2.87
Zr 0.5000 0.0000 0.0000  4 Mo 2.87, 4 Ir 2.87
Mo 0.0000 0.0000 0.5000  8 Zr 2.87
Ir 0.5000 0.5000 0.5000  8 Zr 2.87

Properties
Its formation energy is -0.4928 eV/atom.